DFT (PBE) results for crystalline Tm6Bi3Sb2Pb at its relaxed geometry.

a b c (Å): 9.833 9.833 8.817
angles (deg): 102.90 102.90 25.74
Sites, in units of the cell vectors:
Tm (0.002, 0.002, 0.250)
Tm (0.331, 0.331, 0.420)
Tm (0.334, 0.334, 0.912)
Tm (0.666, 0.666, 0.088)
Tm (0.669, 0.669, 0.580)
Tm (0.998, 0.998, 0.750)
Bi (0.167, 0.167, 0.833)
Bi (0.500, 0.500, 0.500)
Bi (0.833, 0.833, 0.167)
Sb (0.167, 0.167, 0.334)
Sb (0.833, 0.833, 0.666)
Pb (0.500, 0.500, 0.000)

Summary:
Formation energy without anion corrections, eV per atom: -0.79



DFT (PBE) results for crystalline Sc2BiPb2 at its relaxed geometry.

a b c (Å): 7.723 7.723 4.522
angles (deg): 90.00 90.00 90.00
Sites, in units of the cell vectors:
Sc (0.157, 0.343, 0.000)
Sc (0.343, 0.843, 0.000)
Sc (0.657, 0.157, 0.000)
Sc (0.843, 0.657, 0.000)
Bi (0.000, 0.000, 0.000)
Bi (0.500, 0.500, 0.000)
Pb (0.151, 0.651, 0.500)
Pb (0.349, 0.151, 0.500)
Pb (0.651, 0.849, 0.500)
Pb (0.849, 0.349, 0.500)

Summary:
Energy relative to the lowest polymorph listed for this composition, eV per atom: 0.0000
Energy of formation, meV per atom: -328.3



DFT (PBE) results for crystalline ScBiPb2 at its relaxed geometry.

a b c (Å): 12.240 12.240 12.240
angles (deg): 16.08 16.08 16.08
Sites, in units of the cell vectors:
Sc (0.000, 0.000, 0.000)
Bi (0.500, 0.500, 0.500)
Pb (0.083, 0.083, 0.083)
Pb (0.917, 0.917, 0.917)

Summary:
Energy of formation, meV per atom: 195.4



DFT (PBE) results for crystalline Sc4BiPb at its relaxed geometry.

a b c (Å): 8.491 8.491 8.491
angles (deg): 131.84 131.84 70.47
Sites, in units of the cell vectors:
Sc (0.000, 0.247, 0.247)
Sc (0.000, 0.753, 0.753)
Sc (0.247, 0.000, 0.747)
Sc (0.247, 0.500, 0.247)
Sc (0.500, 0.247, 0.747)
Sc (0.500, 0.753, 0.253)
Sc (0.753, 0.000, 0.253)
Sc (0.753, 0.500, 0.753)
Bi (0.375, 0.625, 0.750)
Bi (0.625, 0.375, 0.250)
Pb (0.125, 0.875, 0.250)
Pb (0.875, 0.125, 0.750)

Summary:
Energy of formation, meV per atom: -187.2



DFT (PBE) results for crystalline Sc2Bi2Pb at its relaxed geometry.

a b c (Å): 6.285 6.285 6.285
angles (deg): 126.94 126.94 78.35
Sites, in units of the cell vectors:
Sc (0.250, 0.750, 0.500)
Sc (0.750, 0.250, 0.500)
Bi (0.159, 0.159, 0.000)
Bi (0.841, 0.841, 0.000)
Pb (0.500, 0.500, 0.000)

Summary:
Energy relative to the lowest polymorph listed for this composition, eV per atom: 0.2120
Energy of formation, meV per atom: -172.7



DFT (PBE) results for crystalline ScBi2Pb2 at its relaxed geometry.

a b c (Å): 7.904 7.904 5.047
angles (deg): 90.00 90.00 90.00
Sites, in units of the cell vectors:
Sc (0.000, 0.000, 0.000)
Sc (0.500, 0.500, 0.000)
Bi (0.152, 0.348, 0.000)
Bi (0.348, 0.848, 0.000)
Bi (0.652, 0.152, 0.000)
Bi (0.848, 0.652, 0.000)
Pb (0.163, 0.663, 0.500)
Pb (0.337, 0.163, 0.500)
Pb (0.663, 0.837, 0.500)
Pb (0.837, 0.337, 0.500)

Summary:
Energy relative to the lowest polymorph listed for this composition, eV per atom: 0.0000
Energy of formation, meV per atom: -70.3



| no. | total magnetic moment (Bohr magnetons per cell) |
| --- | --- |
| 1 | 0.0 |
| 2 | 0.0 |
| 3 | 0.0 |
| 4 | 5.4 |
| 5 | 0.0 |
| 6 | 0.0 |